# 1
Sr2TlZn (PBE, relaxed); size of the total moment = 0.00 μB/f.u.; raw total energy = -1.77 eV/atom; DOS(E_F) = 10.7 states/eV/cell; energy of formation from the pure elements = -0.022 eV per atom
1.0
8.8288 0.0000 0.0000
0.0000 8.8288 0.0000
4.4144 4.4144 3.8359
Sr Tl Zn
4 2 2
Cartesian
6.4537 2.2072 0.9590
2.3750 6.6216 0.9590
6.6216 6.7894 2.8770
11.0360 10.8681 2.8770
0.0000 0.0000 0.0000
8.8288 4.4144 1.9180
4.4144 4.4144 0.0000
4.4144 8.8288 1.9180

***

# 2
Pm6HgP2Br3 (PBE, relaxed); uncorrected formation energy = -1.23 eV per atom; size of the total moment = 0.00 μB/f.u.; raw total energy = -4.95 eV/atom; DOS(E_F) = 7.3 states/eV/cell
1.0
-0.4580 1.9571 3.6169
0.0211 -7.7958 4.2210
9.3147 1.7279 -2.1223
Pm Hg P Br
6 1 2 3
Cartesian
6.1122 -5.0363 3.4992
3.0072 -2.4128 4.0533
2.7655 0.9254 2.2164
0.2638 -1.8809 1.0512
8.6139 -2.2300 4.6644
5.8705 -1.6981 1.6622
-0.2290 0.9785 1.8084
5.7996 -2.3886 4.3938
3.0781 -1.7223 1.3217
-0.2185 -2.9194 3.9189
5.8397 1.4681 2.3120
3.0380 -5.5790 3.4035

***

# 3
NpBi (PBE, relaxed); size of the total moment = 3.99 μB/f.u.; raw total energy = -8.29 eV/atom; DOS(E_F) = 10.9 states/eV/cell; energy of formation from the pure elements = 0.123 eV per atom
1.0
-0.1942 3.7371 -2.5129
-3.8634 2.2993 -0.3248
-0.3979 4.0295 1.9805
Np Bi
1 1
Cartesian
0.0000 0.0000 0.0000
-2.2278 5.0329 -0.4286

***

# 4
Sc4GaAu3 (PBE, relaxed); size of the total moment = 0.00 μB/f.u.; raw total energy = -5.53 eV/atom; DOS(E_F) = 7.1 states/eV/cell; energy of formation from the pure elements = -0.753 eV per atom
1.0
4.6073 0.0000 1.3600
2.1029 4.0994 1.3600
0.0423 0.0258 8.3409
Sc Au Ga
4 3 1
Cartesian
5.8840 3.5946 5.5193
2.5607 1.5644 8.2934
0.8686 0.5306 5.5417
4.1919 2.5609 2.7675
1.7204 1.0510 2.6559
5.0321 3.0742 8.4051
3.3763 2.0626 5.5305
0.0000 0.0000 0.0000

***

# 5
SrCaCuPt (PBE, relaxed); size of the total moment = 0.00 μB/f.u.; raw total energy = -3.88 eV/atom; DOS(E_F) = 3.0 states/eV/cell; energy of formation from the pure elements = -0.430 eV per atom
1.0
5.1313 0.0000 0.0000
2.5657 4.4439 0.0000
2.5657 1.4813 4.1897
Sr Ca Cu Pt
1 1 1 1
Cartesian
5.1313 2.9626 2.0949
0.0000 0.0000 0.0000
2.5657 1.4813 1.0474
7.6970 4.4439 3.1423

***

# 6
Ac7Si4H (PBE, relaxed); size of the total moment = 0.00 μB/f.u.; raw total energy = -4.86 eV/atom; DOS(E_F) = 6.0 states/eV/cell
1.0
5.3168 0.0000 0.0000
2.6584 8.9234 0.3163
2.6584 0.7508 8.1577
Ac Si H
7 4 1
Cartesian
7.9752 8.0415 4.8469
2.6584 1.6327 3.6271
2.6584 6.4574 1.2388
7.9752 3.2167 7.2352
5.3168 5.4868 6.0623
2.6584 0.0000 0.0000
5.3168 4.1873 2.4117
5.3168 2.3437 5.2565
5.3168 7.3305 3.2175
7.9752 6.5322 7.5645
2.6584 3.1420 0.9095
0.0000 0.0000 0.0000

***

Question: Among the records above, which one has the highest size of the total moment?
Answer: NpBi

***

Question: Among the records above, which one has the lowest raw total energy?
Answer: NpBi

***

Question: Look up the DOS(E_F) of the first one.
Answer: 10.7 states/eV/cell